This record from Alexandria via LeMat-Bulk describes a relaxed LaAgOs2 crystal. The functional is PBE-GGA.

DOS(E_F) ... 6.83 states/eV/cell
Formation energy from the elements ... 0.642 eV per atom

```
4
Lattice="-0.235 -4.368 -0.025 0.674 -0.060 4.099 -4.094 0.216 0.677" Properties=species:S:1:pos:R:3 pbc="T T T"
Os -1.710 0.078 2.388
Os 0.000 0.000 0.000
La -2.164 -2.076 0.326
Ag 0.220 -2.214 2.037
```